No. 1
A geometry-optimized Cs2TcSbPt structure, computed with PBE.

Cell lengths 5.837, 5.837, 5.116 Å; angles 90.00, 90.00, 90.00 degrees
Last column: magnetic moment on the atom in μB.
Element x y z (fractional)
1 Cs 0.000 0.500 0.000  0.00
2 Cs 0.500 0.000 0.000  0.00
3 Sb 0.000 0.000 0.500  -0.01
4 Tc 0.000 0.000 0.000  0.03
5 Pt 0.500 0.500 0.500  0.34

SG: No. 123
M_tot, μB per formula unit: 0.4

---

No. 2
A geometry-optimized Fe4Hg3 structure, computed with PBE.

Cell lengths 11.995, 11.995, 11.995 Å; angles 165.15, 165.15, 21.06 degrees
Last column: magnetic moment on the atom in μB.
Element x y z (fractional)
1 Hg 0.000 0.000 0.000  -0.07
2 Hg 0.700 0.700 0.000  -0.02
3 Hg 0.300 0.300 0.000  -0.02
4 Fe 0.877 0.877 0.000  2.64
5 Fe 0.123 0.123 0.000  2.64
6 Fe 0.576 0.576 0.000  2.60
7 Fe 0.424 0.424 0.000  2.60

SG: No. 139
ΔE to the lowest computed polymorph, meV per atom: 0
M_tot, μB per formula unit: 10.3
Formation enthalpy at 0 K, meV/atom: 314

---

No. 3
A geometry-optimized NaZr2Se2 structure, computed with PBE.

Cell lengths 5.199, 5.199, 5.948 Å; angles 64.09, 64.09, 90.00 degrees
Last column: magnetic moment on the atom in μB.
Element x y z (fractional)
1 Na 0.000 0.000 0.000  0.00
2 Zr 0.652 0.652 0.696  0.53
3 Zr 0.348 0.348 0.304  0.53
4 Se 0.750 0.250 0.500  0.01
5 Se 0.250 0.750 0.500  0.01

SG: No. 139
ΔE to the lowest computed polymorph, meV per atom: 279
M_tot, μB per formula unit: 1.9

---

No. 4
A geometry-optimized BaCd2In4Hg structure, computed with PBE.

Cell lengths 5.169, 5.169, 10.449 Å; angles 75.68, 75.68, 60.00 degrees
Element x y z (fractional)
1 Cd 0.743 0.743 0.770
2 Cd 0.257 0.257 0.230
3 Hg 0.500 0.500 0.500
4 In 0.869 0.869 0.394
5 In 0.600 0.600 0.201
6 In 0.131 0.131 0.606
7 In 0.400 0.400 0.799
8 Ba 0.000 0.000 0.000

SG: No. 166
M_tot, μB per formula unit: 0.0
Formation enthalpy at 0 K, meV/atom: -164

---

No. 5
A geometry-optimized Ga3Pb structure, computed with PBE.

Cell lengths 3.377, 5.310, 5.962 Å; angles 116.44, 106.45, 90.00 degrees
Element x y z (fractional)
1 Ga 0.500 0.419 0.000
2 Ga 0.774 0.189 0.547
3 Ga 0.226 0.641 0.453
4 Pb 0.000 0.918 0.000

SG: No. 44
M_tot, μB per formula unit: 0.0
Formation enthalpy at 0 K, meV/atom: 88

---

No. 6
A geometry-optimized ZrZn2Au structure, computed with PBE.

Cell lengths 4.527, 2.946, 5.399 Å; angles 89.93, 90.00, 90.00 degrees
Element x y z (fractional)
1 Zn 0.000 0.751 0.008
2 Zn 0.000 0.749 0.492
3 Au 0.500 0.750 0.750
4 Zr 0.500 0.250 0.250

SG: No. 47
M_tot, μB per formula unit: 0.0
Formation enthalpy at 0 K, meV/atom: -267

---

No. 7
A geometry-optimized FeTcAg2 structure, computed with PBE.

Cell lengths 5.583, 5.583, 5.583 Å; angles 151.14, 131.13, 57.75 degrees
Last column: magnetic moment on the atom in μB.
Element x y z (fractional)
1 Ag 0.988 0.988 0.000  0.03
2 Ag 0.512 0.512 0.000  0.03
3 Tc 0.250 0.750 0.500  0.70
4 Fe 0.750 0.250 0.500  2.84

SG: No. 71
ΔE to the lowest computed polymorph, meV per atom: 265
M_tot, μB per formula unit: 3.7
Formation enthalpy at 0 K, meV/atom: 565

---

No. 8
A geometry-optimized SrMoP4 structure, computed with PBE.

Cell lengths 5.336, 5.336, 5.336 Å; angles 60.00, 60.00, 60.00 degrees
Last column: magnetic moment on the atom in μB.
Element x y z (fractional)
1 P 0.367 0.367 0.367  -0.02
2 P 0.367 0.899 0.367  -0.02
3 P 0.367 0.367 0.899  -0.02
4 P 0.899 0.367 0.367  -0.02
5 Sr 0.750 0.750 0.750  0.06
6 Mo 0.000 0.000 0.000  2.26

SG: No. 216
M_tot, μB per formula unit: 2.7
Formation enthalpy at 0 K, meV/atom: 488

---

No. 9
A geometry-optimized SnIrNF2 structure, computed with PBE.

Cell lengths 4.624, 4.624, 3.688 Å; angles 90.00, 90.00, 90.00 degrees
Element x y z (fractional)
1 F 0.000 0.500 0.000
2 F 0.500 0.000 0.000
3 N 0.000 0.000 0.500
4 Sn 0.500 0.500 0.500
5 Ir 0.000 0.000 0.000

SG: No. 123
ΔE to the lowest computed polymorph, meV per atom: 0
M_tot, μB per formula unit: 0.0

---

No. 10
A geometry-optimized Pu6Ga2N structure, computed with PBE.

Cell lengths 6.629, 6.632, 9.405 Å; angles 90.00, 90.04, 90.00 degrees
Last column: magnetic moment on the atom in μB.
Element x y z (fractional)
1 Pu 0.749 0.251 0.501  5.57
2 Pu 0.249 0.249 0.001  5.57
3 Pu 0.501 0.500 0.250  5.57
4 Pu 0.001 0.000 0.750  5.57
5 Pu 0.499 0.500 0.750  5.57
6 Pu 0.251 0.251 0.499  5.57
7 Pu 0.751 0.751 0.999  5.57
8 Pu 0.749 0.749 0.501  5.57
9 Pu 0.751 0.249 0.999  5.57
10 Pu 0.999 0.000 0.250  5.57
11 Pu 0.251 0.749 0.499  5.57
12 Pu 0.249 0.751 0.001  5.57
13 Ga 0.500 0.000 0.250  -0.14
14 Ga 0.500 0.000 0.750  -0.14
15 Ga 0.000 0.500 0.250  -0.14
16 Ga 0.000 0.500 0.750  -0.14
17 N 0.000 0.000 0.500  -0.17
18 N 0.500 0.500 0.000  -0.17

SG: No. 12
M_tot, μB per formula unit: 35.0

---

No. 11
A geometry-optimized FeSbH2Se structure, computed with PBE.

Cell lengths 3.711, 5.434, 3.711 Å; angles 90.00, 90.00, 90.00 degrees
Last column: magnetic moment on the atom in μB.
Element x y z (fractional)
1 Sb 0.000 0.000 0.000  -0.06
2 H 0.500 0.000 0.000  0.00
3 H 0.000 0.000 0.500  0.00
4 Fe 0.000 0.500 0.000  2.82
5 Se 0.500 0.500 0.500  0.10

SG: No. 123
M_tot, μB per formula unit: 3.0

---

No. 12
A geometry-optimized Sr2BeHgN structure, computed with PBE.

Cell lengths 6.031, 4.381, 6.031 Å; angles 90.00, 90.00, 90.00 degrees
Last column: magnetic moment on the atom in μB.
Element x y z (fractional)
1 Sr 0.500 0.000 0.000  0.02
2 Sr 0.000 0.000 0.500  0.00
3 N 0.500 0.500 0.500  1.02
4 Hg 0.000 0.000 0.000  0.08
5 Be 0.000 0.500 0.000  0.04

SG: No. 123
M_tot, μB per formula unit: 1.7

---

Across the entries above, raw total energy takes the values -17.3 -32.6 -28.2 -16.3 -12.4 -15.4 -22.3 -31.2 -26.8 -206.1 -21.2 -11.6 eV per cell, respectively.